ReNi2N2: relaxed, PBEsol.

The value obtained for the uncorrected formation energy is 1011 meV/atom. The calculation puts the uncorrected energy at -37.65 eV for the cell shown.

a b c (Å): 2.696 2.696 6.947
angles (deg): 101.19 101.19 90.00
Element x y z (fractional)
Re (0.000, 0.000, 0.000)
N (0.250, 0.750, 0.500)
N (0.750, 0.250, 0.500)
Ni (0.367, 0.367, 0.734)
Ni (0.633, 0.633, 0.266)

---

ReNiSN2: relaxed, PBEsol.

The value obtained for the uncorrected formation energy is 1516 meV/atom. The calculation puts the uncorrected energy at -33.35 eV for the cell shown.

a b c (Å): 3.612 3.612 4.324
angles (deg): 90.00 90.00 90.00
Last column: magnetic moment on the atom in μB.
Element x y z (fractional)
Re (0.500, 0.500, 0.500)  -1.41
S (0.000, 0.000, 0.500)  0.04
N (0.000, 0.500, 0.000)  0.29
N (0.500, 0.000, 0.000)  0.29
Ni (0.000, 0.000, 0.000)  0.19

---

ReNiSeN2: relaxed, PBEsol.

The value obtained for the uncorrected formation energy is 1640 meV/atom. The calculation puts the uncorrected energy at -32.19 eV for the cell shown.

a b c (Å): 3.654 3.654 4.667
angles (deg): 90.00 90.00 90.00
Last column: magnetic moment on the atom in μB.
Element x y z (fractional)
Re (0.500, 0.500, 0.500)  -1.74
N (0.000, 0.500, 0.000)  0.47
N (0.500, 0.000, 0.000)  0.47
Se (0.000, 0.000, 0.500)  0.07
Ni (0.000, 0.000, 0.000)  0.34

---

ReNiTeN2: relaxed, PBEsol.

The value obtained for the uncorrected formation energy is 1805 meV/atom. The calculation puts the uncorrected energy at -31.05 eV for the cell shown.

a b c (Å): 3.737 3.737 5.089
angles (deg): 90.00 90.00 90.00
Last column: magnetic moment on the atom in μB.
Element x y z (fractional)
Re (0.500, 0.500, 0.500)  -1.61
N (0.000, 0.500, 0.000)  0.61
N (0.500, 0.000, 0.000)  0.61
Te (0.000, 0.000, 0.500)  0.07
Ni (0.000, 0.000, 0.000)  0.41

---

NiRhN2: relaxed, PBEsol.

The value obtained for the uncorrected formation energy is 388 meV/atom. The value obtained for the energy above the lowest structure with this stoichiometry is 0 meV/atom. The calculation puts the uncorrected energy at -29.80 eV for the cell shown.

a b c (Å): 2.735 2.735 6.162
angles (deg): 77.18 77.18 60.00
Element x y z (fractional)
Ni (0.500, 0.500, 0.500)
Rh (0.000, 0.000, 0.000)
N (0.893, 0.893, 0.320)
N (0.107, 0.107, 0.680)

---

NiRhN2: relaxed, PBEsol.

The value obtained for the uncorrected formation energy is 519 meV/atom. The value obtained for the energy above the lowest structure with this stoichiometry is 131 meV/atom. The calculation puts the uncorrected energy at -29.27 eV for the cell shown.

a b c (Å): 2.899 2.899 6.056
angles (deg): 76.15 76.15 60.00
Element x y z (fractional)
Ni (0.000, 0.000, 0.000)
Rh (0.500, 0.500, 0.500)
N (0.899, 0.899, 0.303)
N (0.101, 0.101, 0.697)

---

Sc2NiRhN: relaxed, PBEsol.

The value obtained for the uncorrected formation energy is 961 meV/atom. The calculation puts the uncorrected energy at -31.23 eV for the cell shown.

a b c (Å): 4.296 4.819 4.819
angles (deg): 90.00 90.00 90.00
Last column: magnetic moment on the atom in μB.
Element x y z (fractional)
Sc (0.000, 0.000, 0.500)  -0.07
Sc (0.000, 0.500, 0.000)  -0.07
Ni (0.500, 0.000, 0.000)  0.68
Rh (0.000, 0.000, 0.000)  0.16
N (0.500, 0.500, 0.500)  0.40

---

NiRhSeN2: relaxed, PBEsol.

The value obtained for the uncorrected formation energy is 1213 meV/atom. The calculation puts the uncorrected energy at -29.13 eV for the cell shown.

a b c (Å): 3.518 3.518 5.316
angles (deg): 90.00 90.00 90.00
Element x y z (fractional)
Ni (0.000, 0.000, 0.000)
Rh (0.500, 0.500, 0.500)
Se (0.000, 0.000, 0.500)
N (0.000, 0.500, 0.000)
N (0.500, 0.000, 0.000)

---

NiTeRuN2: relaxed, PBEsol.

The value obtained for the uncorrected formation energy is 763 meV/atom. The calculation puts the uncorrected energy at -33.09 eV for the cell shown.

a b c (Å): 3.689 3.689 5.706
angles (deg): 90.00 90.00 90.00
Last column: magnetic moment on the atom in μB.
Element x y z (fractional)
Ru (0.000, 0.000, 0.000)  -0.01
N (0.000, 0.500, 0.000)  0.01
N (0.500, 0.000, 0.000)  0.01
Te (0.000, 0.000, 0.500)  0.00
Ni (0.500, 0.500, 0.500)  0.14

---

NiSN2: relaxed, PBEsol.

The value obtained for the uncorrected formation energy is 581 meV/atom. The calculation puts the uncorrected energy at -25.27 eV for the cell shown.

a b c (Å): 2.906 2.906 5.627
angles (deg): 75.04 75.04 60.00
Element x y z (fractional)
Ni (0.500, 0.500, 0.500)
S (0.000, 0.000, 0.000)
N (0.893, 0.893, 0.321)
N (0.107, 0.107, 0.679)

---

NiSbSN2: relaxed, PBEsol.

The value obtained for the uncorrected formation energy is 1475 meV/atom. The calculation puts the uncorrected energy at -24.78 eV for the cell shown.

a b c (Å): 3.915 3.915 5.161
angles (deg): 90.00 90.00 90.00
Last column: magnetic moment on the atom in μB.
Element x y z (fractional)
Sb (0.000, 0.000, 0.000)  -0.03
S (0.000, 0.000, 0.500)  0.15
N (0.000, 0.500, 0.000)  0.47
N (0.500, 0.000, 0.000)  0.47
Ni (0.500, 0.500, 0.500)  1.19

---

NiSnS2N: relaxed, PBEsol.

The value obtained for the uncorrected formation energy is 1203 meV/atom. The calculation puts the uncorrected energy at -21.70 eV for the cell shown.

a b c (Å): 3.945 4.968 4.968
angles (deg): 90.00 90.00 90.00
Last column: magnetic moment on the atom in μB.
Element x y z (fractional)
Ni (0.500, 0.500, 0.500)  1.20
S (0.000, 0.000, 0.500)  0.27
S (0.000, 0.500, 0.000)  0.27
Sn (0.000, 0.000, 0.000)  -0.03
N (0.500, 0.000, 0.000)  0.77

---

NiWS2N: relaxed, PBEsol.

The value obtained for the uncorrected formation energy is 922 meV/atom. The calculation puts the uncorrected energy at -32.65 eV for the cell shown.

a b c (Å): 3.332 4.504 4.504
angles (deg): 90.00 90.00 90.00
Last column: magnetic moment on the atom in μB.
Element x y z (fractional)
Ni (0.000, 0.000, 0.000)  -0.07
S (0.000, 0.000, 0.500)  -0.07
S (0.000, 0.500, 0.000)  -0.07
W (0.500, 0.500, 0.500)  1.40
N (0.500, 0.000, 0.000)  -0.27

---

ZnNiS2N: relaxed, PBEsol.

The value obtained for the uncorrected formation energy is 489 meV/atom. The calculation puts the uncorrected energy at -22.59 eV for the cell shown.

a b c (Å): 3.350 4.652 4.652
angles (deg): 90.00 90.00 90.00
Element x y z (fractional)
Ni (0.000, 0.000, 0.000)
Zn (0.500, 0.500, 0.500)
S (0.000, 0.000, 0.500)
S (0.000, 0.500, 0.000)
N (0.500, 0.000, 0.000)

---

Sc2Ni2N: relaxed, PBEsol.

The value obtained for the uncorrected formation energy is -5 meV/atom. The calculation puts the uncorrected energy at -34.07 eV for the cell shown.

a b c (Å): 4.560 4.560 4.560
angles (deg): 99.60 114.62 114.62
Last column: magnetic moment on the atom in μB.
Element x y z (fractional)
Sc (0.500, 0.750, 0.250)  0.23
Sc (0.500, 0.250, 0.750)  0.23
Ni (0.000, 0.696, 0.696)  -0.01
Ni (0.000, 0.304, 0.304)  -0.01
N (0.000, 0.000, 0.000)  -0.01